Record 1
The following is a DFT calculation (GGA-PBE) of UAs2Rh3 after structural relaxation.

Calculated values
As for the symmetry: C2/m, No. 12. The energy relative to the elements is -59.72 kJ per mole of atoms. The total magnetic moment is 0.293 μB/atom. Its density is 11.32 g cm⁻³.

a b c (Å): 3.945 8.512 9.891
angles (deg): 107.97 90.00 103.40
Element x y z (fractional)
U1 0.000 0.000 0.000
U2 0.161 0.321 0.695
U3 0.839 0.679 0.305
Rh1 0.960 0.921 0.672
Rh2 0.606 0.213 0.183
Rh3 0.040 0.079 0.328
Rh4 0.222 0.445 0.388
Rh5 0.500 0.000 0.500
Rh6 0.394 0.787 0.817
Rh7 0.683 0.366 0.966
Rh8 0.317 0.634 0.034
Rh9 0.778 0.555 0.612
As1 0.548 0.097 0.778
As2 0.452 0.903 0.222
As3 0.194 0.389 0.127
As4 0.806 0.611 0.873
As5 0.636 0.272 0.449
As6 0.364 0.728 0.551

***

Record 2
The following is a DFT calculation (GGA-PBE) of Ca2AgAs2 after structural relaxation.

Calculated values
As for the symmetry: I4/mmm, No. 139. The energy relative to the elements is -54.14 kJ per mole of atoms. The total magnetic moment is 0.000 μB/atom. Its density is 4.13 g cm⁻³. Its excess energy over the best structure of this formula in the dataset is 0.221 eV/atom.

a b c (Å): 5.784 5.784 5.762
angles (deg): 59.88 59.88 90.00
Element x y z (fractional)
Ca1 0.750 0.250 0.500
Ca2 0.250 0.750 0.500
Ag1 0.000 0.000 0.000
As1 0.673 0.673 0.654
As2 0.327 0.327 0.346

***

Record 3
The following is a DFT calculation (GGA-PBE) of Th3ReN6 after structural relaxation.

Calculated values
As for the symmetry: Cmc2_1, No. 36. The total magnetic moment is 0.001 μB/atom. Its density is 9.92 g cm⁻³. Its excess energy over the best structure of this formula in the dataset is 0.000 eV/atom. As for the formation energy without anion corrections: -1.25 eV/atom.

a b c (Å): 5.746 7.609 7.609
angles (deg): 103.35 90.00 90.00
Element x y z (fractional)
Th1 0.447 0.399 0.601
Th2 0.947 0.601 0.399
Th3 0.472 0.298 0.095
Th4 0.472 0.905 0.702
Th5 0.972 0.702 0.905
Th6 0.972 0.095 0.298
Re1 0.514 0.808 0.192
Re2 0.014 0.192 0.808
N1 0.162 0.104 0.590
N2 0.142 0.046 0.954
N3 0.713 0.334 0.349
N4 0.689 0.213 0.787
N5 0.189 0.787 0.213
N6 0.213 0.666 0.651
N7 0.213 0.349 0.334
N8 0.713 0.651 0.666
N9 0.162 0.410 0.896
N10 0.662 0.896 0.410
N11 0.662 0.590 0.104
N12 0.642 0.954 0.046